No. 1
Tl2CuTeC | PBE | relaxed

Summary:
**DOS(E_F)**: 0.440 states/eV per atom
**Total magnetic moment**: 0.000 μB per formula unit
**Formation energy from raw total energies**: 0.627 eV/atom
**E_tot**: -3.612 eV per atom

Unit cell a=5.4851 b=5.4851 c=3.7591 alpha=90.00 beta=90.00 gamma=90.00
Closest atoms and distances in Å follow each position.
Space group P4/mmm (No. 123)
One atom of each set of equivalent atoms:
Tl: 0.0000 0.5000 0.0000 x2  2 C 2.74
Cu: 0.0000 0.0000 0.5000 x1  2 C 1.88
Te: 0.5000 0.5000 0.5000 x1  8 Tl 3.32
C: 0.0000 0.0000 0.0000 x1  2 Cu 1.88

=====

No. 2
Te2PtIN | PBE | relaxed

Summary:
**DOS(E_F)**: 0.729 states/eV per atom
**Total magnetic moment**: 0.000 μB per formula unit
**Formation energy from raw total energies**: 1.581 eV/atom
**E_tot**: -2.858 eV per atom
**Energy relative to the lowest polymorph listed for this composition**: 1044.8 meV per atom

Unit cell a=5.8313 b=5.8313 c=3.8295 alpha=90.00 beta=90.00 gamma=90.00
Closest atoms and distances in Å follow each position.
Space group P4/mmm (No. 123)
One atom of each set of equivalent atoms:
Te: 0.0000 0.5000 0.0000 x2  2 I 2.92
Pt: 0.0000 0.0000 0.5000 x1  8 Te 3.49, 2 Pt 3.83
I: 0.5000 0.5000 0.0000 x1  2 N 1.91
N: 0.5000 0.5000 0.5000 x1  2 I 1.91

=====

No. 3
MnCrNiRu | PBE | relaxed

Summary:
**DOS(E_F)**: 1.675 states/eV per atom
**Total magnetic moment**: 2.815 μB per formula unit
**Energy of formation from the pure elements**: 0.132 eV per atom
**E_tot**: -8.331 eV per atom

Unit cell a=5.8442 b=5.8442 c=5.8442 alpha=90.00 beta=90.00 gamma=90.00
Closest atoms and distances in Å follow each position.
Space group F-43m (No. 216)
One atom of each set of equivalent atoms:
Mn: 0.0000 0.0000 0.0000 x4  4 Ni 2.53, 4 Cr 2.53
Cr: 0.2500 0.2500 0.2500 x4  4 Mn 2.53, 4 Ru 2.53
Ni: 0.2500 0.2500 0.7500 x4  4 Mn 2.53, 4 Ru 2.53
Ru: 0.0000 0.0000 0.5000 x4  4 Cr 2.53, 4 Ni 2.53

=====

No. 4
BaCaAl | PBE | relaxed

Summary:
**DOS(E_F)**: 1.117 states/eV per atom
**Total magnetic moment**: 0.000 μB per formula unit
**Energy of formation from the pure elements**: 0.027 eV per atom
**E_tot**: -2.529 eV per atom
**Energy relative to the lowest polymorph listed for this composition**: 108.7 meV per atom

Unit cell a=5.6254 b=5.6254 c=4.0973 alpha=90.00 beta=90.00 gamma=120.00
Closest atoms and distances in Å follow each position.
Space group P3m1 (No. 156)
One atom of each set of equivalent atoms:
Ba: 0.0000 0.0000 0.0000 x1  6 Al 3.83-3.85, 6 Ca 3.84, 2 Ba 4.10
Ca: 0.6667 0.3333 0.4983 x1  3 Al 3.25
Al: 0.3333 0.6667 0.5047 x1  3 Ca 3.25

=====

No. 5
TcHgIr4 | PBE | relaxed

Summary:
**DOS(E_F)**: 1.420 states/eV per atom
**Total magnetic moment**: 1.949 μB per formula unit
**Energy of formation from the pure elements**: 0.604 eV per atom
**E_tot**: -7.081 eV per atom

Unit cell a=7.3580 b=7.3580 c=7.3580 alpha=90.00 beta=90.00 gamma=90.00
Closest atoms and distances in Å follow each position.
Space group F-43m (No. 216)
One atom of each set of equivalent atoms:
Tc: 0.0000 0.0000 0.0000 x4  12 Ir 3.05, 4 Hg 3.19
Hg: 0.2500 0.2500 0.7500 x4  12 Ir 3.05, 4 Tc 3.19
Ir: 0.1251 0.1251 0.3749 x16  6 Ir 2.60

=====

No. 6
NdMgSi2Pt2 | PBE | relaxed

Summary:
**DOS(E_F)**: 0.412 states/eV per atom
**Total magnetic moment**: 0.000 μB per formula unit
**Formation energy from raw total energies**: -0.950 eV/atom
**E_tot**: -5.832 eV per atom

Unit cell a=4.2648 b=4.2648 c=7.0193 alpha=90.00 beta=90.00 gamma=120.00
Closest atoms and distances in Å follow each position.
Space group P-3m1 (No. 164)
One atom of each set of equivalent atoms:
Nd: 0.0000 0.0000 0.0000 x1  6 Si 3.21, 6 Pt 3.28, 2 Mg 3.51
Mg: 0.0000 0.0000 0.5000 x1  6 Pt 2.81, 6 Si 2.86
Si: 0.3333 0.6667 0.7061 x2  3 Pt 2.46
Pt: 0.3333 0.6667 0.3083 x2  3 Si 2.46

=====

No. 7
PaReSi2W | PBE | relaxed

Summary:
**DOS(E_F)**: 1.234 states/eV per atom
**Total magnetic moment**: 0.000 μB per formula unit
**Formation energy from raw total energies**: -0.336 eV/atom
**E_tot**: -9.484 eV per atom

Unit cell a=4.0593 b=4.0593 c=10.5653 alpha=90.00 beta=90.00 gamma=90.00
Closest atoms and distances in Å follow each position.
Space group I-4m2 (No. 119)
One atom of each set of equivalent atoms:
Pa: 0.0000 0.0000 0.0000 x2  8 Si 3.11, 4 W 3.33, 4 Re 3.33
Re: 0.0000 0.5000 0.2500 x2  4 Si 2.50
Si: 0.0000 0.0000 0.3878 x4  1 Si 2.37, 2 W 2.50, 2 Re 2.50
W: 0.0000 0.5000 0.7500 x2  4 Si 2.50

=====

No. 8
MgPa2Be3Pt4 | PBE | relaxed

Summary:
**DOS(E_F)**: 1.046 states/eV per atom
**Total magnetic moment**: 0.566 μB per formula unit
**Energy of formation from the pure elements**: -0.730 eV per atom
**E_tot**: -6.323 eV per atom

Unit cell a=3.9134 b=3.9134 c=10.8515 alpha=90.00 beta=90.00 gamma=90.00
Closest atoms and distances in Å follow each position.
Space group P-4m2 (No. 115)
One atom of each set of equivalent atoms:
Mg: 0.0000 0.0000 0.0000 x1  4 Pt 2.67, 4 Be 2.77
Pa: 0.0000 0.5000 0.7301 x2  8 Pt 2.98-3.17, 4 Be 3.03
Be: 0.0000 0.5000 0.3832 x2  5 Pt 2.33-2.34
Be: 0.5000 0.5000 0.0000 x1  4 Pt 2.67, 4 Mg 2.77
Pt: 0.0000 0.0000 0.5000 x1  4 Be 2.33
Pt: 0.0000 0.5000 0.1672 x2  1 Be 2.34
Pt: 0.5000 0.5000 0.5000 x1  4 Be 2.33

=====

No. 9
SmHf2Ir2 | PBE | relaxed

Summary:
**DOS(E_F)**: 0.924 states/eV per atom
**Total magnetic moment**: 0.000 μB per formula unit
**Energy of formation from the pure elements**: -0.828 eV per atom
**E_tot**: -9.298 eV per atom

Unit cell a=4.4760 b=4.4760 c=11.0409 alpha=90.00 beta=90.00 gamma=90.00
Closest atoms and distances in Å follow each position.
Space group I4/mmm (No. 139)
One atom of each set of equivalent atoms:
Sm: 0.0000 0.0000 0.0000 x2  8 Ir 3.42, 8 Hf 3.55
Hf: 0.0000 0.5000 0.2500 x4  4 Ir 2.67
Ir: 0.0000 0.0000 0.3826 x4  1 Ir 2.59, 4 Hf 2.67

=====

No. 10
NaNb2GeW | PBE | relaxed

Summary:
**DOS(E_F)**: 1.053 states/eV per atom
**Total magnetic moment**: 0.002 μB per formula unit
**Energy of formation from the pure elements**: 1.449 eV per atom
**E_tot**: -6.357 eV per atom

Unit cell a=4.8349 b=4.8349 c=4.4541 alpha=90.00 beta=90.00 gamma=90.00
Closest atoms and distances in Å follow each position.
Space group P4/mmm (No. 123)
One atom of each set of equivalent atoms:
Na: 0.0000 0.0000 0.0000 x1  2 Ge 2.23
Nb: 0.0000 0.5000 0.5000 x2  2 Ge 2.42
Ge: 0.0000 0.0000 0.5000 x1  2 Na 2.23, 4 Nb 2.42
W: 0.5000 0.5000 0.0000 x1  8 Nb 3.29, 4 Na 3.42

=====

No. 11
Th12Re5Ag3 | PBE | relaxed

Summary:
**DOS(E_F)**: 0.869 states/eV per atom
**Total magnetic moment**: 0.000 μB per formula unit
**Energy of formation from the pure elements**: 0.390 eV per atom
**E_tot**: -7.601 eV per atom

Unit cell a=17.2307 b=17.2307 c=17.2307 alpha=90.00 beta=90.00 gamma=90.00
Closest atoms and distances in Å follow each position.
Space group Ia-3d (No. 230)
One atom of each set of equivalent atoms:
Th: 0.0265 0.0601 0.6500 x96  2 Re 2.63-2.82
Re: 0.0000 0.0000 0.0000 x16  6 Th 2.82
Re: 0.0000 0.2500 0.3750 x24  4 Th 2.63
Ag: 0.0000 0.2500 0.1250 x24  8 Th 3.29-3.33

=====

No. 12
CuHgPb2 | PBE | relaxed

Summary:
**DOS(E_F)**: 0.359 states/eV per atom
**Total magnetic moment**: 0.000 μB per formula unit
**Energy of formation from the pure elements**: 0.155 eV per atom
**E_tot**: -2.798 eV per atom

Unit cell a=4.6151 b=4.6151 c=17.8778 alpha=90.00 beta=90.00 gamma=120.00
Closest atoms and distances in Å follow each position.
Space group R3m (No. 160, hexagonal axes)
One atom of each set of equivalent atoms:
Cu: 0.0000 0.0000 0.0000 x3  6 Pb 2.82-2.92, 1 Hg 2.90
Hg: 0.0000 0.0000 0.8380 x3  1 Cu 2.90
Pb: 0.0000 0.0000 0.4007 x3  3 Cu 2.92, 3 Hg 3.25
Pb: 0.0000 0.0000 0.6149 x3  3 Cu 2.82